A plane-wave DFT calculation with PBE-GGA was carried out for an optimized crystal structure of CaHo2Pd9.

Cell lengths 4.125, 4.125, 12.319 Å; angles 90.00, 90.00, 90.00 degrees
Atoms (fractional coordinates):
Ca  0.000  0.000  0.000
Ho  0.000  0.000  0.333
Ho  0.000  0.000  0.667
Pd  0.000  0.500  0.170
Pd  0.000  0.500  0.500
Pd  0.000  0.500  0.830
Pd  0.500  0.000  0.170
Pd  0.500  0.000  0.500
Pd  0.500  0.000  0.830
Pd  0.500  0.500  0.000
Pd  0.500  0.500  0.335
Pd  0.500  0.500  0.665

* energy: -5.58 eV/atom
* crystal system: tetragonal


A plane-wave DFT calculation with PBE-GGA was carried out for an optimized crystal structure of Ca4HoPd5.

Cell lengths 3.526, 3.526, 17.632 Å; angles 90.00, 90.00, 90.00 degrees
Atoms (fractional coordinates):
Ca  0.000  0.000  0.100
Ca  0.000  0.000  0.298
Ca  0.000  0.000  0.702
Ca  0.000  0.000  0.900
Ho  0.000  0.000  0.500
Pd  0.500  0.500  0.000
Pd  0.500  0.500  0.200
Pd  0.500  0.500  0.409
Pd  0.500  0.500  0.591
Pd  0.500  0.500  0.800

* energy: -4.59 eV/atom
* crystal system: tetragonal